No. 1
Material: ZrPaRh
Method: DFT, PBE-GGA
State: optimized geometry

Structure (CIF):
```
data_ZrPaRh
_symmetry_space_group_name_H-M 'C 1 c 1'
_symmetry_Int_Tables_number 9
_cell_length_a 8.717
_cell_length_b 6.793
_cell_length_c 5.561
_cell_angle_alpha 90.00
_cell_angle_beta 129.46
_cell_angle_gamma 90.00
loop_
_symmetry_equiv_pos_as_xyz
'x,y,z'
'x,-y,z+1/2'
'x+1/2,y+1/2,z'
'x+1/2,-y+1/2,z+1/2'
loop_
_atom_site_label
_atom_site_fract_x
_atom_site_fract_y
_atom_site_fract_z
_atom_site_occupancy
Zr1 0.000 0.147 0.000 1
Pa1 0.321 0.170 0.821 1
Rh1 0.140 0.500 0.390 1
```

Computed properties:
Magnetization ... 0.00 μB per formula unit
V ... 63.6 Å³/f.u.
Uncorrected energy ... -0.3301 Ha/atom
Fermi-level density of states ... 3.9 states/eV/f.u.


No. 2
Material: ZrPa3Rh12
Method: DFT, PBE-GGA
State: optimized geometry

Structure (CIF):
```
data_ZrPa3Rh12
_symmetry_space_group_name_H-M 'P 4/m m m'
_symmetry_Int_Tables_number 123
_symmetry_space_group_name_Hall '-P 4 2'
_cell_length_a 4.036
_cell_length_b 4.036
_cell_length_c 16.125
_cell_angle_alpha 90.00
_cell_angle_beta 90.00
_cell_angle_gamma 90.00
loop_
_atom_site_label
_atom_site_fract_x
_atom_site_fract_y
_atom_site_fract_z
_atom_site_occupancy
Zr1 0.000 0.000 0.000 1
Pa1 0.000 0.000 0.246 1
Pa2 0.000 0.000 0.500 1
Rh1 0.000 0.500 0.122 1
Rh2 0.000 0.500 0.374 1
Rh3 0.500 0.500 0.000 1
Rh4 0.500 0.500 0.248 1
Rh5 0.500 0.500 0.500 1
```

Computed properties:
Magnetization ... 0.00 μB per formula unit
V ... 262.7 Å³/f.u.
Uncorrected energy ... -0.3186 Ha/atom
Fermi-level density of states ... 14.3 states/eV/f.u.


No. 3
Material: ZrPaRh
Method: DFT, PBE-GGA
State: optimized geometry

Structure (CIF):
```
data_ZrPaRh
_symmetry_space_group_name_H-M 'R -3 m'
_symmetry_Int_Tables_number 166
_symmetry_space_group_name_Hall '-R 3 2"'
_cell_length_a 4.4625
_cell_length_b 4.4625
_cell_length_c 22.4401
_cell_angle_alpha 90.00
_cell_angle_beta 90.00
_cell_angle_gamma 120.00
loop_
_atom_site_label
_atom_site_fract_x
_atom_site_fract_y
_atom_site_fract_z
_atom_site_occupancy
Zr1 0.0000 0.0000 0.1348 1
Pa1 0.0000 0.0000 0.2998 1
Rh1 0.0000 0.0000 0.4341 1
```

Computed properties:
Magnetization ... 0.00 μB per formula unit
V ... 64.5 Å³/f.u.
Uncorrected energy ... -0.3248 Ha/atom
Fermi-level density of states ... 1.3 states/eV/f.u.


No. 4
Material: ZrPaRh4
Method: DFT, PBE-GGA
State: optimized geometry

Structure (CIF):
```
data_ZrPaRh4
_symmetry_space_group_name_H-M 'F -4 3 m'
_symmetry_Int_Tables_number 216
_symmetry_space_group_name_Hall 'F -4 2 3'
_cell_length_a 7.466
_cell_length_b 7.466
_cell_length_c 7.466
_cell_angle_alpha 90.00
_cell_angle_beta 90.00
_cell_angle_gamma 90.00
loop_
_atom_site_label
_atom_site_fract_x
_atom_site_fract_y
_atom_site_fract_z
_atom_site_occupancy
Zr1 0.000 0.000 0.000 1
Pa1 0.250 0.250 0.250 1
Rh1 0.125 0.125 0.625 1
```

Computed properties:
Magnetization ... 0.00 μB per formula unit
V ... 104.1 Å³/f.u.
Uncorrected energy ... -0.3130 Ha/atom
Fermi-level density of states ... 8.2 states/eV/f.u.


No. 5
Material: ZrPaRh2
Method: DFT, PBE-GGA
State: optimized geometry

Structure (CIF):
```
data_ZrPaRh2
_symmetry_space_group_name_H-M 'P 1 21/m 1'
_symmetry_Int_Tables_number 11
_cell_length_a 5.717
_cell_length_b 4.799
_cell_length_c 5.727
_cell_angle_alpha 90.00
_cell_angle_beta 103.86
_cell_angle_gamma 90.00
loop_
_symmetry_equiv_pos_as_xyz
'x,y,z'
'-x,-y,-z'
'-x,y+1/2,-z'
'x,-y+1/2,z'
loop_
_atom_site_label
_atom_site_fract_x
_atom_site_fract_y
_atom_site_fract_z
_atom_site_occupancy
Zr1 0.106 0.250 0.395 1
Pa1 0.330 0.750 0.170 1
Rh1 0.187 0.250 0.898 1
Rh2 0.397 0.750 0.687 1
```

Computed properties:
Magnetization ... 0.00 μB per formula unit
V ... 76.3 Å³/f.u.
Uncorrected energy ... -0.3269 Ha/atom
Fermi-level density of states ... 5.1 states/eV/f.u.


No. 6
Material: ZrPa3Rh6
Method: DFT, PBE-GGA
State: optimized geometry

Structure (CIF):
```
data_ZrPa3Rh6
_symmetry_space_group_name_H-M 'P 1 21/m 1'
_symmetry_Int_Tables_number 11
_cell_length_a 8.720
_cell_length_b 4.521
_cell_length_c 9.811
_cell_angle_alpha 90.00
_cell_angle_beta 105.17
_cell_angle_gamma 90.00
loop_
_symmetry_equiv_pos_as_xyz
'x,y,z'
'-x,-y,-z'
'-x,y+1/2,-z'
'x,-y+1/2,z'
loop_
_atom_site_label
_atom_site_fract_x
_atom_site_fract_y
_atom_site_fract_z
_atom_site_occupancy
Zr1 0.047 0.250 0.391 1
Pa1 0.208 0.250 0.051 1
Pa2 0.363 0.750 0.780 1
Pa3 0.488 0.250 0.639 1
Rh1 0.103 0.750 0.889 1
Rh2 0.134 0.750 0.193 1
Rh3 0.147 0.250 0.695 1
Rh4 0.219 0.750 0.500 1
Rh5 0.340 0.250 0.356 1
Rh6 0.436 0.750 0.069 1
```

Computed properties:
Magnetization ... 0.00 μB per formula unit
V ... 186.6 Å³/f.u.
Uncorrected energy ... -0.3252 Ha/atom
Fermi-level density of states ... 8.2 states/eV/f.u.


No. 7
Material: Zr2PaRh
Method: DFT, PBE-GGA
State: optimized geometry

Structure (CIF):
```
data_Zr2PaRh
_symmetry_space_group_name_H-M 'F -4 3 m'
_symmetry_Int_Tables_number 216
_symmetry_space_group_name_Hall 'F -4 2 3'
_cell_length_a 6.917
_cell_length_b 6.917
_cell_length_c 6.917
_cell_angle_alpha 90.00
_cell_angle_beta 90.00
_cell_angle_gamma 90.00
loop_
_atom_site_label
_atom_site_fract_x
_atom_site_fract_y
_atom_site_fract_z
_atom_site_occupancy
Zr1 0.000 0.000 0.000 1
Zr2 0.250 0.250 0.250 1
Pa1 0.000 0.000 0.500 1
Rh1 0.250 0.250 0.750 1
```

Computed properties:
Magnetization ... 0.00 μB per formula unit
V ... 82.8 Å³/f.u.
Uncorrected energy ... -0.3204 Ha/atom
Fermi-level density of states ... 5.9 states/eV/f.u.


No. 8
Material: ZrPaRh2
Method: DFT, PBE-GGA
State: optimized geometry

Structure (CIF):
```
data_ZrPaRh2
_symmetry_space_group_name_H-M 'F m -3 m'
_symmetry_Int_Tables_number 225
_symmetry_space_group_name_Hall '-F 4 2 3'
_cell_length_a 6.756
_cell_length_b 6.756
_cell_length_c 6.756
_cell_angle_alpha 90.00
_cell_angle_beta 90.00
_cell_angle_gamma 90.00
loop_
_atom_site_label
_atom_site_fract_x
_atom_site_fract_y
_atom_site_fract_z
_atom_site_occupancy
Zr1 0.000 0.000 0.000 1
Pa1 0.000 0.000 0.500 1
Rh1 0.250 0.250 0.250 1
```

Computed properties:
Magnetization ... 0.01 μB per formula unit
V ... 77.1 Å³/f.u.
Uncorrected energy ... -0.3232 Ha/atom
Fermi-level density of states ... 7.6 states/eV/f.u.


No. 9
Material: Zr2PaRh9
Method: DFT, PBE-GGA
State: optimized geometry

Structure (CIF):
```
data_Zr2PaRh9
_symmetry_space_group_name_H-M 'P 4/m m m'
_symmetry_Int_Tables_number 123
_symmetry_space_group_name_Hall '-P 4 2'
_cell_length_a 4.002
_cell_length_b 4.002
_cell_length_c 11.958
_cell_angle_alpha 90.00
_cell_angle_beta 90.00
_cell_angle_gamma 90.00
loop_
_atom_site_label
_atom_site_fract_x
_atom_site_fract_y
_atom_site_fract_z
_atom_site_occupancy
Zr1 0.000 0.000 0.164 1
Pa1 0.000 0.000 0.500 1
Rh1 0.000 0.500 0.000 1
Rh2 0.000 0.500 0.330 1
Rh3 0.500 0.500 0.164 1
Rh4 0.500 0.500 0.500 1
```

Computed properties:
Magnetization ... 0.00 μB per formula unit
V ... 191.5 Å³/f.u.
Uncorrected energy ... -0.3116 Ha/atom
Fermi-level density of states ... 11.9 states/eV/f.u.


No. 10
Material: ZrPa2Rh
Method: DFT, PBE-GGA
State: optimized geometry

Structure (CIF):
```
data_ZrPa2Rh
_symmetry_space_group_name_H-M 'P 4/m m m'
_symmetry_Int_Tables_number 123
_symmetry_space_group_name_Hall '-P 4 2'
_cell_length_a 3.618
_cell_length_b 3.618
_cell_length_c 6.941
_cell_angle_alpha 90.00
_cell_angle_beta 90.00
_cell_angle_gamma 90.00
loop_
_atom_site_label
_atom_site_fract_x
_atom_site_fract_y
_atom_site_fract_z
_atom_site_occupancy
Zr1 0.000 0.000 0.000 1
Pa1 0.500 0.500 0.288 1
Rh1 0.000 0.000 0.500 1
```

Computed properties:
Magnetization ... 0.00 μB per formula unit
V ... 90.9 Å³/f.u.
Uncorrected energy ... -0.3271 Ha/atom
Fermi-level density of states ... 8.5 states/eV/f.u.


No. 11
Material: ZrPa2Rh
Method: DFT, PBE-GGA
State: optimized geometry

Structure (CIF):
```
data_ZrPa2Rh
_symmetry_space_group_name_H-M 'R -3 m'
_symmetry_Int_Tables_number 166
_symmetry_space_group_name_Hall '-R 3 2"'
_cell_length_a 3.1155
_cell_length_b 3.1155
_cell_length_c 31.7367
_cell_angle_alpha 90.00
_cell_angle_beta 90.00
_cell_angle_gamma 120.00
loop_
_atom_site_label
_atom_site_fract_x
_atom_site_fract_y
_atom_site_fract_z
_atom_site_occupancy
Zr1 0.0000 0.0000 0.0000 1
Pa1 0.0000 0.0000 0.0935 1
Rh1 0.0000 0.0000 0.5000 1
```

Computed properties:
Magnetization ... 0.00 μB per formula unit
V ... 88.9 Å³/f.u.
Uncorrected energy ... -0.3193 Ha/atom
Fermi-level density of states ... 6.3 states/eV/f.u.


No. 12
Material: Zr2PaRh
Method: DFT, PBE-GGA
State: optimized geometry

Structure (CIF):
```
data_Zr2PaRh
_symmetry_space_group_name_H-M 'R -3 m'
_symmetry_Int_Tables_number 166
_symmetry_space_group_name_Hall '-R 3 2"'
_cell_length_a 3.2584
_cell_length_b 3.2584
_cell_length_c 28.2268
_cell_angle_alpha 90.00
_cell_angle_beta 90.00
_cell_angle_gamma 120.00
loop_
_atom_site_label
_atom_site_fract_x
_atom_site_fract_y
_atom_site_fract_z
_atom_site_occupancy
Zr1 0.0000 0.0000 0.2385 1
Pa1 0.0000 0.0000 0.0000 1
Rh1 0.0000 0.0000 0.5000 1
```

Computed properties:
Magnetization ... 0.00 μB per formula unit
V ... 86.5 Å³/f.u.
Uncorrected energy ... -0.3177 Ha/atom
Fermi-level density of states ... 6.2 states/eV/f.u.